Li5Mn2CoO8: optimized geometry, PBE with a Hubbard U.

DOS at the Fermi energy in states/eV/f.u.: 3.079
Density in Mg/m³: 3.81
Polymorph energy (0 for the lowest one) in eV/atom: 0.111
M_tot in μB per cell: 19.5

CIF file:
```
data_Li5Mn2CoO8
_chemical_formula_sum 'Li10 Mn4 Co2 O16'
_symmetry_space_group_name_H-M 'C 1 2/m 1'
_symmetry_Int_Tables_number 12
_cell_length_a 19.251
_cell_length_b 2.887
_cell_length_c 5.234
_cell_angle_alpha 90.00
_cell_angle_beta 96.70
_cell_angle_gamma 90.00
loop_
_symmetry_equiv_pos_as_xyz
'x,y,z'
'-x,-y,-z'
'-x,y,-z'
'x,-y,z'
'x+1/2,y+1/2,z'
'-x+1/2,-y+1/2,-z'
'-x+1/2,y+1/2,-z'
'x+1/2,-y+1/2,z'
loop_
_atom_site_label
_atom_site_type_symbol
_atom_site_fract_x
_atom_site_fract_y
_atom_site_fract_z
Li1 Li 0.000 0.000 0.000
Li2 Li 0.118 0.000 0.386
Li3 Li 0.120 0.500 0.884
Mn1 Mn 0.248 0.500 0.249
Co1 Co 0.000 0.500 0.500
O1 O 0.053 0.500 0.237
O2 O 0.055 0.000 0.668
O3 O 0.189 0.000 0.088
O4 O 0.192 0.500 0.595
```